Compound: RhI2Br
Source: Alexandria via LeMat-Bulk
Functional: PBE
Structure: relaxed

Geometry as extended XYZ:
```
8
Lattice="-3.897 3.897 4.334 3.897 -3.897 4.334 3.897 3.897 -4.334" Properties=species:S:1:pos:R:3 pbc="T T T"
Rh 0.000 0.000 0.000
Rh 0.000 3.897 2.167
I 5.845 1.290 -1.084
I 1.290 1.948 1.084
I -1.948 2.607 3.251
I 2.607 1.948 5.418
Br 3.897 0.000 2.167
Br 0.000 0.000 4.334
```

- space group = I-42d
- total energy (hartree per atom) = -0.105
- DOS at the Fermi energy (states/eV per cell) = 7.8
- E_form (uncorrected) (eV per atom) = 0.177
- energy above the most stable polymorph in this dataset (meV/atom) = 345